No. 1
Compound: BeTlGe3
Source: the Alexandria database
Functional: PBE
Structure: optimized geometry

It has space group Pm-3m (No. 221), with a = 4.6670 Å, b = 4.6670 Å, c = 4.6670 Å, α = 90.00°, β = 90.00° and γ = 90.00°. Symmetry generates all atoms from Be at (0.0000, 0.0000, 0.0000), Tl at (0.5000, 0.5000, 0.5000) and Ge at (0.0000, 0.0000, 0.5000).

As for the excess energy over the best structure of this formula in the dataset: 0 meV/atom. The energy of formation from the pure elements is 0.428 eV/atom.

No. 2
Compound: UAlAu3
Source: the Alexandria database
Functional: PBE
Structure: optimized geometry

It has space group C2/m (No. 12), with a = 12.5562 Å, b = 5.9338 Å, c = 5.3908 Å, α = 90.00°, β = 104.16° and γ = 90.00°. Symmetry generates all atoms from U at (0.0806, 0.0000, 0.2459), Al at (0.0000, 0.5000, 0.0000), Al at (0.0000, 0.5000, 0.5000), Au at (0.1460, 0.2460, 0.8017) and Au at (0.1860, 0.5000, 0.3549).

As for the excess energy over the best structure of this formula in the dataset: 0 meV/atom. The energy of formation from the pure elements is -0.262 eV/atom.

No. 3
Compound: La2B12IrOs3
Source: the Alexandria database
Functional: PBE
Structure: optimized geometry

It has space group R-3m (No. 166, hexagonal axes), with a = 5.8588 Å, b = 5.8588 Å, c = 22.2693 Å, α = 90.00°, β = 90.00° and γ = 120.00°. Symmetry generates all atoms from La at (0.0000, 0.0000, 0.1327), B at (0.0392, 0.5196, 0.0986), B at (0.1026, 0.2052, 0.7408), Ir at (0.0000, 0.0000, 0.5000) and Os at (0.0000, 0.5000, 0.0000).

The energy of formation from the pure elements is 0.081 eV/atom.

no.,E (hartree per atom),total moment (μB per atom)
1,-0.1309,0.000
2,-0.1924,0.522
3,-0.2676,0.038